Entry from the Alexandria database: MoC after structural relaxation (PBE).

## Properties
The calculation puts the energy above the most stable polymorph in this dataset at 739 meV/atom. The calculation puts the total magnetization at 0.00 μB/atom. The value obtained for the total energy is -37.53 eV for the cell shown. The calculated formation energy comes out at 646 meV/atom.

Lattice parameters (Å, degrees): 4.068 4.068 3.110 90.00 90.00 90.00
Element x y z (fractional)
Mo 0.250 0.750 0.000
Mo 0.750 0.250 0.000
C 0.250 0.250 0.143
C 0.750 0.750 0.857



Entry from the Alexandria database: MgInNi6 after structural relaxation (PBE).

## Properties
The calculation puts the total magnetization at 0.25 μB/atom. The value obtained for the total energy is -157.85 eV for the cell shown. The calculated formation energy comes out at -55 meV/atom.

Lattice parameters (Å, degrees): 6.404 6.404 10.470 90.00 90.00 109.58
Element x y z (fractional)
Mg 0.000 0.000 0.248
Mg 0.000 0.000 0.752
Mg 0.251 0.749 0.000
Mg 0.749 0.251 0.000
In 0.250 0.750 0.500
In 0.500 0.500 0.248
In 0.500 0.500 0.752
In 0.750 0.250 0.500
Ni 0.000 0.000 0.000
Ni 0.000 0.000 0.500
Ni 0.121 0.373 0.122
Ni 0.121 0.373 0.878
Ni 0.123 0.372 0.372
Ni 0.123 0.372 0.628
Ni 0.248 0.752 0.246
Ni 0.248 0.752 0.754
Ni 0.372 0.123 0.372
Ni 0.372 0.123 0.628
Ni 0.373 0.121 0.122
Ni 0.373 0.121 0.878
Ni 0.500 0.500 0.000
Ni 0.500 0.500 0.500
Ni 0.627 0.879 0.122
Ni 0.627 0.879 0.878
Ni 0.628 0.877 0.372
Ni 0.628 0.877 0.628
Ni 0.752 0.248 0.246
Ni 0.752 0.248 0.754
Ni 0.877 0.628 0.372
Ni 0.877 0.628 0.628
Ni 0.879 0.627 0.122
Ni 0.879 0.627 0.878



Entry from the Alexandria database: TmTaPt6 after structural relaxation (PBE).

## Properties
The calculation puts the total magnetization at 0.00 μB/atom. The value obtained for the total energy is -59.95 eV for the cell shown. The calculated formation energy comes out at -922 meV/atom.

Lattice parameters (Å, degrees): 4.046 4.046 8.093 90.00 90.00 90.00
Element x y z (fractional)
Tm 0.000 0.000 0.000
Ta 0.000 0.000 0.500
Pt 0.000 0.500 0.263
Pt 0.000 0.500 0.737
Pt 0.500 0.000 0.263
Pt 0.500 0.000 0.737
Pt 0.500 0.500 0.000
Pt 0.500 0.500 0.500



Entry from the Alexandria database: Er2PuF after structural relaxation (PBE).

## Properties
The calculation puts the total magnetization at 1.57 μB/atom. The value obtained for the total energy is -85.20 eV for the cell shown. As for the uncorrected formation energy: -0.77 eV/atom.

Lattice parameters (Å, degrees): 3.489 3.489 27.808 90.00 90.00 120.00
Element x y z (fractional)
Er 0.000 0.000 0.115
Er 0.000 0.000 0.885
Er 0.333 0.667 0.552
Er 0.333 0.667 0.781
Er 0.667 0.333 0.219
Er 0.667 0.333 0.448
Pu 0.000 0.000 0.000
Pu 0.333 0.667 0.667
Pu 0.667 0.333 0.333
F 0.000 0.000 0.500
F 0.333 0.667 0.167
F 0.667 0.333 0.833



Entry from the Alexandria database: LuGaNi after structural relaxation (PBE).

## Properties
The calculation puts the total magnetization at 0.00 μB/atom. The value obtained for the total energy is -29.38 eV for the cell shown. The calculated formation energy comes out at -454 meV/atom.

Lattice parameters (Å, degrees): 3.197 3.197 10.086 90.00 90.00 90.00
Element x y z (fractional)
Lu 0.000 0.000 0.000
Lu 0.500 0.500 0.500
Ga 0.000 0.000 0.296
Ga 0.500 0.500 0.796
Ni 0.000 0.000 0.680
Ni 0.500 0.500 0.180



Entry from the Alexandria database: InMo4Cl after structural relaxation (PBE).

## Properties
The calculation puts the total magnetization at 0.00 μB/atom. The value obtained for the total energy is -43.20 eV for the cell shown. As for the uncorrected formation energy: 0.78 eV/atom.

Lattice parameters (Å, degrees): 5.375 5.375 5.375 60.00 60.00 60.00
Element x y z (fractional)
In 0.000 0.000 0.000
Mo 0.139 0.620 0.620
Mo 0.620 0.139 0.620
Mo 0.620 0.620 0.139
Mo 0.620 0.620 0.620
Cl 0.250 0.250 0.250